1.
The following is a DFT calculation (PBE) of TlIn5Pb2 after structural relaxation.

calculated formation energy = 47 meV per atom
DOS at the Fermi energy = 3.8 states/eV per cell
polymorph energy (0 for the lowest one) = 0.26 eV per formula unit
uncorrected energy = -2.887 eV/atom
space-group type = I4/mmm

Lattice parameters (Å, degrees): 6.7712 6.7710 6.7711 104.38 104.38 120.22
Sites, in units of the cell vectors:
Tl 0.7782 0.7781 0.0000
In 0.2780 0.2782 0.5004
In 0.2783 0.7776 0.0000
In 0.7779 0.2780 0.0000
In 0.7776 0.7778 0.4996
In 0.2777 0.2774 0.0000
Pb 0.2776 0.7779 0.5000
Pb 0.7776 0.2779 0.5000

=====

2.
The following is a DFT calculation (PBE) of TlIn5Pb6 after structural relaxation.

calculated formation energy = 19 meV per atom
DOS at the Fermi energy = 6.3 states/eV per cell
uncorrected energy = -3.173 eV/atom
space-group type = C2/m

Lattice parameters (Å, degrees): 4.9143 9.3146 9.3146 110.68 104.67 104.67
Sites, in units of the cell vectors:
Pb 0.2542 0.0865 0.4215
Pb 0.7458 0.5785 0.9135
Pb 0.7602 0.2604 0.2604
Pb 0.2398 0.7396 0.7396
Pb 0.2542 0.4215 0.0865
Pb 0.7458 0.9135 0.5785
Tl 0.0000 0.0000 0.0000
In 0.5000 0.1667 0.8333
In 0.0000 0.3311 0.6689
In 0.5000 0.5000 0.5000
In 0.0000 0.6689 0.3311
In 0.5000 0.8333 0.1667

=====

3.
The following is a DFT calculation (PBE) of Tl5In2Pb2 after structural relaxation.

calculated formation energy = 25 meV per atom
DOS at the Fermi energy = 4.2 states/eV per cell
polymorph energy (0 for the lowest one) = 0.00 eV per formula unit
uncorrected energy = -2.722 eV/atom
space-group type = C2/m

Lattice parameters (Å, degrees): 5.5270 6.4305 9.7187 61.22 73.48 64.55
Sites, in units of the cell vectors:
Tl 0.4470 0.7839 0.3220
Tl 0.5530 0.2161 0.6780
Tl 0.1108 0.4464 0.3320
Tl 0.8892 0.5536 0.6680
Tl 0.0000 0.0000 0.0000
In 0.3262 0.3459 0.0016
In 0.6738 0.6541 0.9984
Pb 0.2244 0.8823 0.6689
Pb 0.7756 0.1177 0.3311

=====

4.
The following is a DFT calculation (PBE) of TlIn6Pb3 after structural relaxation.

calculated formation energy = 89 meV per atom
DOS at the Fermi energy = 4.2 states/eV per cell
polymorph energy (0 for the lowest one) = 0.31 eV per formula unit
uncorrected energy = -2.903 eV/atom
space-group type = P-31m

Lattice parameters (Å, degrees): 6.0037 6.0037 10.0554 90.00 90.00 120.00
Sites, in units of the cell vectors:
Tl 0.0000 0.0000 0.0000
In 0.6261 0.6261 0.7850
In 0.0000 0.3739 0.7850
In 0.3739 0.0000 0.7850
In 0.0000 0.6261 0.2150
In 0.3739 0.3739 0.2150
In 0.6261 0.0000 0.2150
Pb 0.0000 0.0000 0.5000
Pb 0.6667 0.3333 0.5000
Pb 0.3333 0.6667 0.5000

=====

5.
The following is a DFT calculation (PBE) of Tl2InPb2 after structural relaxation.

calculated formation energy = 113 meV per atom
DOS at the Fermi energy = 4.0 states/eV per cell
polymorph energy (0 for the lowest one) = 0.49 eV per formula unit
uncorrected energy = -2.865 eV/atom
space-group type = P4/mbm

Lattice parameters (Å, degrees): 9.6641 9.6641 3.4544 90.00 90.00 90.00
Sites, in units of the cell vectors:
Pb 0.1721 0.6721 0.5000
Pb 0.6721 0.8279 0.5000
Pb 0.8279 0.3279 0.5000
Pb 0.3279 0.1721 0.5000
Tl 0.3738 0.8738 0.0000
Tl 0.8738 0.6262 0.0000
Tl 0.6262 0.1262 0.0000
Tl 0.1262 0.3738 0.0000
In 0.0000 0.0000 0.0000
In 0.5000 0.5000 0.0000

=====

6.
The following is a DFT calculation (PBE) of TlIn2Pb after structural relaxation.

calculated formation energy = 118 meV per atom
DOS at the Fermi energy = 1.4 states/eV per cell
polymorph energy (0 for the lowest one) = 0.49 eV per formula unit
uncorrected energy = -2.770 eV/atom
space-group type = R3m

Lattice parameters (Å, degrees): 4.6212 4.6212 7.5158 72.10 72.10 60.00
Sites, in units of the cell vectors:
Tl 0.6687 0.6687 0.9940
In 0.0865 0.0865 0.7404
In 0.2461 0.2461 0.2616
Pb 0.4987 0.4987 0.5040

=====

7.
The following is a DFT calculation (PBE) of TlInPb6 after structural relaxation.

calculated formation energy = 6 meV per atom
DOS at the Fermi energy = 4.3 states/eV per cell
uncorrected energy = -3.413 eV/atom
space-group type = P4/mmm

Lattice parameters (Å, degrees): 4.9759 4.9759 9.9755 90.00 90.00 90.00
Sites, in units of the cell vectors:
Tl 0.0000 0.0000 0.0000
In 0.0000 0.0000 0.5000
Pb 0.5000 0.5000 0.0000
Pb 0.5000 0.5000 0.5000
Pb 0.5000 0.0000 0.2528
Pb 0.5000 0.0000 0.7472
Pb 0.0000 0.5000 0.2528
Pb 0.0000 0.5000 0.7472

=====

8.
The following is a DFT calculation (PBE) of Tl2InPb after structural relaxation.

calculated formation energy = 9 meV per atom
DOS at the Fermi energy = 1.2 states/eV per cell
polymorph energy (0 for the lowest one) = 0.05 eV per formula unit
uncorrected energy = -2.785 eV/atom
space-group type = P2/m

Lattice parameters (Å, degrees): 5.1899 3.3984 7.6132 63.54 90.00 90.00
Sites, in units of the cell vectors:
Pb 0.5000 0.7500 0.7500
Tl 0.0000 0.9980 0.0042
Tl 0.0000 0.5020 0.4958
In 0.5000 0.2500 0.2500

=====

9.
The following is a DFT calculation (PBE) of Tl2InPb after structural relaxation.

calculated formation energy = 101 meV per atom
DOS at the Fermi energy = 4.8 states/eV per cell
polymorph energy (0 for the lowest one) = 0.41 eV per formula unit
uncorrected energy = -2.694 eV/atom
space-group type = I-42d

Lattice parameters (Å, degrees): 4.6223 4.6223 12.1902 79.07 79.07 90.00
Sites, in units of the cell vectors:
Pb 0.0000 0.0000 0.0000
Pb 0.7500 0.2500 0.5000
Tl 0.6209 0.1250 0.2500
Tl 0.1291 0.6250 0.2500
Tl 0.3750 0.3791 0.7500
Tl 0.8750 0.8709 0.7500
In 0.5000 0.5000 0.0000
In 0.2500 0.7500 0.5000

=====

10.
The following is a DFT calculation (PBE) of TlIn6Pb after structural relaxation.

calculated formation energy = 24 meV per atom
DOS at the Fermi energy = 3.5 states/eV per cell
polymorph energy (0 for the lowest one) = 0.05 eV per formula unit
uncorrected energy = -2.789 eV/atom
space-group type = Amm2

Lattice parameters (Å, degrees): 5.4006 9.0943 6.4735 134.62 90.00 90.00
Sites, in units of the cell vectors:
Tl 0.5000 0.6214 0.2428
In 0.0000 0.8725 0.2502
In 0.0000 0.3777 0.2502
In 0.0000 0.3697 0.7394
In 0.5000 0.6268 0.7499
In 0.5000 0.1231 0.7499
In 0.5000 0.1296 0.2592
Pb 0.0000 0.8791 0.7582